1.
A plane-wave DFT calculation with PBE was carried out for a relaxed structure of NaLa2PaP4.

Computed properties:
N(E_F) = 0.31 states/eV per atom
formation energy = -1120 meV/atom

Structure (CIF):
```
data_NaLa2PaP4
_chemical_formula_sum 'Na1 La2 Pa1 P4'
_space_group_name_H-M_alt 'P 1 2/m 1'
_space_group_IT_number 10
_space_group_name_Hall '-P 2y'
_cell_length_a 7.155
_cell_length_b 4.221
_cell_length_c 7.181
_cell_angle_alpha 90.00
_cell_angle_beta 108.96
_cell_angle_gamma 90.00
loop_
_atom_site_label
_atom_site_fract_x
_atom_site_fract_y
_atom_site_fract_z
_atom_site_occupancy
Na1 0.000 0.000 0.000 1
La1 0.500 0.000 0.500 1
La2 0.500 0.500 0.000 1
Pa1 0.000 0.500 0.500 1
P1 0.232 0.000 0.733 1
P2 0.240 0.500 0.273 1
```

2.
A plane-wave DFT calculation with PBE was carried out for a relaxed structure of NaLaP2Pt2.

Computed properties:
N(E_F) = 0.57 states/eV per atom
formation energy = -962 meV/atom

Structure (CIF):
```
data_NaLaP2Pt2
_chemical_formula_sum 'Na1 La1 P2 Pt2'
_space_group_name_H-M_alt 'P -3 m 1'
_space_group_IT_number 164
_space_group_name_Hall '-P 3 2"'
_cell_length_a 4.0747
_cell_length_b 4.0747
_cell_length_c 8.7615
_cell_angle_alpha 90.00
_cell_angle_beta 90.00
_cell_angle_gamma 120.00
loop_
_atom_site_label
_atom_site_fract_x
_atom_site_fract_y
_atom_site_fract_z
_atom_site_occupancy
Na1 0.0000 0.0000 0.0000 1
La1 0.0000 0.0000 0.5000 1
P1 0.3333 0.6667 0.2674 1
Pt1 0.3333 0.6667 0.7558 1
```

3.
A plane-wave DFT calculation with PBE was carried out for a relaxed structure of Na2LaPPt.

Computed properties:
N(E_F) = 0.88 states/eV per atom
formation energy = -110 meV/atom

Structure (CIF):
```
data_Na2LaPPt
_chemical_formula_sum 'Na2 La1 P1 Pt1'
_space_group_name_H-M_alt 'P 4/m m m'
_space_group_IT_number 123
_space_group_name_Hall '-P 4 2'
_cell_length_a 5.188
_cell_length_b 5.188
_cell_length_c 4.604
_cell_angle_alpha 90.00
_cell_angle_beta 90.00
_cell_angle_gamma 90.00
loop_
_atom_site_label
_atom_site_fract_x
_atom_site_fract_y
_atom_site_fract_z
_atom_site_occupancy
Na1 0.000 0.500 0.000 1
La1 0.000 0.000 0.500 1
P1 0.500 0.500 0.500 1
Pt1 0.500 0.500 0.000 1
```